Record 1
Compound: SrLa2W
Source: Alexandria
Functional: PBE
Structure: relaxed

Computed properties:
The calculation puts the relative energy among the computed polymorphs at 330.8 meV per atom. For the calculated density, the calculation gives 6.46 g/cm³. Its energy of formation from the pure elements is 0.789 eV/atom.

Cell lengths 9.0304, 9.0304, 6.9249 Å; angles 90.00, 90.00, 90.00 degrees
Space group I-42d (No. 122)
Unique sites:
Sr  0.0000  0.0000  0.0000 x4
La  0.1520  0.2500  0.6250 x8
W  0.0000  0.0000  0.5000 x4

=====

Record 2
Compound: BeIn5
Source: Alexandria
Functional: PBE
Structure: relaxed

Computed properties:
The calculation puts the relative energy among the computed polymorphs at 0.0 meV per atom. For the calculated density, the calculation gives 6.61 g/cm³. Its energy of formation from the pure elements is 0.195 eV/atom.

Cell lengths 13.5750, 3.3246, 6.5051 Å; angles 90.00, 93.40, 90.00 degrees
Space group Cm (No. 8)
Unique sites:
Be  0.0000  0.0000  0.0000 x2
In  0.0563  0.5000  0.3048 x2
In  0.1424  0.5000  0.8389 x2
In  0.2468  0.0000  0.4551 x2
In  0.3386  0.0000  0.0266 x2
In  0.4340  0.5000  0.6202 x2

=====

Record 3
Compound: LaNi2Ir
Source: Alexandria
Functional: PBE
Structure: relaxed

Computed properties:
For the calculated density, the calculation gives 11.35 g/cm³. Its energy of formation from the pure elements is -0.100 eV/atom.

Cell lengths 4.1355, 4.1355, 3.8356 Å; angles 90.00, 90.00, 90.00 degrees
Space group P4/mmm (No. 123)
Unique sites:
La  0.0000  0.0000  0.0000 x1
Ni  0.0000  0.5000  0.5000 x2
Ir  0.5000  0.5000  0.0000 x1

=====

Record 4
Compound: AlCr2NiAs
Source: Alexandria
Functional: PBE
Structure: relaxed

Computed properties:
For the calculated density, the calculation gives 4.89 g/cm³. Its energy of formation from the pure elements is 0.618 eV/atom.

Cell lengths 4.5449, 4.5449, 4.3470 Å; angles 90.00, 90.00, 90.00 degrees
Space group P4/mmm (No. 123)
Unique sites:
Al  0.0000  0.0000  0.0000 x1
Cr  0.0000  0.5000  0.5000 x2
Ni  0.0000  0.0000  0.5000 x1
As  0.5000  0.5000  0.0000 x1

=====

Record 5
Compound: Sm3InRh
Source: Alexandria
Functional: PBE
Structure: relaxed

Computed properties:
The calculation puts the relative energy among the computed polymorphs at 22.5 meV per atom. For the calculated density, the calculation gives 7.78 g/cm³. Its energy of formation from the pure elements is -0.472 eV/atom.

Cell lengths 15.9563, 4.0496, 10.6476 Å; angles 90.00, 123.88, 90.00 degrees
Space group C2/m (No. 12)
Unique sites:
Sm  0.0861  0.0000  0.4494 x4
Sm  0.1356  0.5000  0.2182 x4
Sm  0.1681  0.5000  0.7967 x4
In  0.0741  0.0000  0.9269 x4
Rh  0.2311  0.5000  0.5806 x4

=====

Record 6
Compound: Rb3Al2Sb4
Source: Alexandria
Functional: PBE
Structure: relaxed

Computed properties:
The calculation puts the relative energy among the computed polymorphs at 0.0 meV per atom. For the calculated density, the calculation gives 3.94 g/cm³. The calculation puts the raw formation energy at -0.332 eV/atom.

Cell lengths 19.2090, 4.4299, 8.6407 Å; angles 90.00, 114.04, 90.00 degrees
Space group C2/m (No. 12)
Unique sites:
Rb  0.0000  0.0000  0.0000 x2
Rb  0.1466  0.0000  0.7560 x4
Al  0.1751  0.5000  0.4231 x4
Sb  0.0221  0.5000  0.3648 x4
Sb  0.2027  0.0000  0.2646 x4

=====

Record 7
Compound: Pm3GeRh3
Source: Alexandria
Functional: PBE
Structure: relaxed

Computed properties:
The calculation puts the relative energy among the computed polymorphs at 275.9 meV per atom. For the calculated density, the calculation gives 7.57 g/cm³. Its energy of formation from the pure elements is -0.498 eV/atom.

Cell lengths 8.5139, 8.5139, 5.7076 Å; angles 90.00, 90.00, 120.00 degrees
Space group P6_3/m (No. 176)
Unique sites:
Pm  0.0547  0.3658  0.2500 x6
Ge  0.3333  0.6667  0.7500 x2
Rh  0.0636  0.3688  0.7500 x6

=====

Record 8
Compound: Sm3Si2Pt
Source: Alexandria
Functional: PBE
Structure: relaxed

Computed properties:
For the calculated density, the calculation gives 7.99 g/cm³. The calculation puts the raw formation energy at -0.877 eV/atom.

Cell lengths 11.6670, 4.2984, 11.6384 Å; angles 90.00, 90.00, 90.00 degrees
Space group Pnma (No. 62)
Unique sites:
Sm  0.0587  0.2500  0.1217 x4
Sm  0.1181  0.7500  0.5604 x4
Sm  0.2075  0.2500  0.8078 x4
Si  0.0243  0.7500  0.3099 x4
Si  0.1941  0.7500  0.9969 x4
Pt  0.1299  0.2500  0.3657 x4

=====

Record 9
Compound: PrCdH6Rh2
Source: Alexandria
Functional: PBE
Structure: relaxed

Computed properties:
For the calculated density, the calculation gives 7.42 g/cm³. The value obtained for the final energy is -4.33 eV/atom.

Cell lengths 7.9020, 9.6149, 5.7228 Å; angles 90.00, 106.75, 90.00 degrees
Space group C2/c (No. 15)
Unique sites:
Pr  0.0000  0.1659  0.2500 x4
Cd  0.0000  0.3715  0.7500 x4
H  0.0823  0.4013  0.1270 x8
H  0.1727  0.0005  0.0686 x8
H  0.2058  0.2382  0.6280 x8
Rh  0.2008  0.1154  0.8279 x8

=====

Record 10
Compound: LiDy2TmTe5
Source: Alexandria
Functional: PBE
Structure: relaxed

Computed properties:
For the calculated density, the calculation gives 7.28 g/cm³. The calculation puts the raw formation energy at -1.223 eV/atom.

Cell lengths 4.3057, 18.3702, 13.1458 Å; angles 90.00, 90.00, 90.00 degrees
Space group Cmc2_1 (No. 36)
Unique sites:
Li  0.0000  0.0584  0.0000 x4
Dy  0.0000  0.3726  0.8349 x4
Dy  0.0000  0.3945  0.2211 x4
Tm  0.0000  0.3030  0.5460 x4
Te  0.0000  0.0023  0.3203 x4
Te  0.0000  0.1383  0.5355 x4
Te  0.0000  0.1895  0.8814 x4
Te  0.0000  0.2184  0.2054 x4
Te  0.0000  0.4536  0.6115 x4

=====

Record 11
Compound: PrTcB2O8
Source: Alexandria
Functional: PBE
Structure: relaxed

Computed properties:
For the calculated density, the calculation gives 4.61 g/cm³. The calculation puts the raw formation energy at -1.983 eV/atom.

Cell lengths 4.9343, 4.9343, 6.6335 Å; angles 90.00, 90.00, 120.00 degrees
Space group P-3m1 (No. 164)
Unique sites:
Pr  0.0000  0.0000  0.0000 x1
Tc  0.0000  0.0000  0.5000 x1
B  0.3333  0.6667  0.2397 x2
O  0.1728  0.3457  0.3240 x6
O  0.3333  0.6667  0.0278 x2

=====

Record 12
Compound: Ca2RuPb
Source: Alexandria
Functional: PBE
Structure: relaxed

Computed properties:
For the calculated density, the calculation gives 4.89 g/cm³. Its energy of formation from the pure elements is 0.113 eV/atom.

Cell lengths 9.9551, 9.9551, 5.3206 Å; angles 90.00, 90.00, 90.00 degrees
Space group I-42d (No. 122)
Unique sites:
Ca  0.1034  0.2500  0.1250 x8
Ru  0.0000  0.0000  0.0000 x4
Pb  0.0000  0.0000  0.5000 x4